InIrSe3 | PBE | relaxed

* polymorph energy (0 for the lowest one): 663 meV/atom
* formation energy without anion corrections: 287 meV per atom
* total energy: -4.12 eV/atom

Cell: 4.9806 4.9806 4.9806 Å, 90.00 90.00 90.00°
Positions (direct):
1 In 0.0000 0.0000 0.0000
2 Ir 0.5000 0.5000 0.5000
3 Se 0.0000 0.5000 0.5000
4 Se 0.5000 0.0000 0.5000
5 Se 0.5000 0.5000 0.0000